1.
Material: CaTm2Ni
Method: DFT, PBE
State: relaxed

Cell: 3.397 3.397 9.246 Å, 90.00 90.00 90.00°
Sites, in units of the cell vectors:
Ca 0.000 0.000 0.000
Tm 0.500 0.500 0.328
Tm 0.500 0.500 0.672
Ni 0.000 0.000 0.500

Properties
E_tot = -4.351 eV/atom
Volume = 26.7 A^3/atom
E above lowest polymorph = 0.000 eV/atom
DFT formation energy = -0.1693 eV/atom
Density of states at the Fermi level = 3.9 states/eV/f.u.

---

2.
Material: Tl2CdIn4Hg3
Method: DFT, PBE
State: relaxed

Cell: 4.885 4.885 12.387 Å, 90.00 90.00 90.00°
Sites, in units of the cell vectors:
Tl 0.000 0.500 0.244
Tl 0.500 0.000 0.756
Cd 0.500 0.500 0.000
In 0.000 0.000 0.500
In 0.000 0.500 0.866
In 0.500 0.000 0.134
In 0.500 0.500 0.500
Hg 0.000 0.000 0.000
Hg 0.000 0.500 0.639
Hg 0.500 0.000 0.361

Properties
E_tot = -1.708 eV/atom
Volume = 29.6 A^3/atom
DFT formation energy = 0.0429 eV/atom
Density of states at the Fermi level = 4.6 states/eV/f.u.

---

3.
Material: ScSi2As
Method: DFT, PBE
State: relaxed

Cell: 7.531 7.531 7.531 Å, 26.54 26.54 26.54°
Sites, in units of the cell vectors:
Sc 0.000 0.000 0.000
Si 0.242 0.242 0.242
Si 0.758 0.758 0.758
As 0.500 0.500 0.500

Properties
E_tot = -5.432 eV/atom
Volume = 18.8 A^3/atom
Density of states at the Fermi level = 1.5 states/eV/f.u.

---

4.
Material: ScCu3Si3
Method: DFT, PBE
State: relaxed

Cell: 6.367 6.367 6.367 Å, 90.00 90.00 90.00°
Sites, in units of the cell vectors:
Sc 0.000 0.000 0.000
Sc 0.500 0.500 0.500
Cu 0.000 0.250 0.500
Cu 0.000 0.750 0.500
Cu 0.250 0.500 0.000
Cu 0.500 0.000 0.250
Cu 0.500 0.000 0.750
Cu 0.750 0.500 0.000
Si 0.000 0.500 0.250
Si 0.000 0.500 0.750
Si 0.250 0.000 0.500
Si 0.500 0.250 0.000
Si 0.500 0.750 0.000
Si 0.750 0.000 0.500

Properties
E_tot = -4.664 eV/atom
Volume = 18.4 A^3/atom
Density of states at the Fermi level = 4.2 states/eV/f.u.

---

5.
Material: Zn2PO5
Method: DFT, PBE
State: relaxed

Cell: 5.280 5.280 4.774 Å, 115.73 115.73 82.01°
Sites, in units of the cell vectors:
Zn 0.223 0.777 0.000
Zn 0.777 0.223 0.000
P 0.181 0.181 0.738
O 0.106 0.106 0.351
O 0.435 0.994 0.886
O 0.440 0.440 0.930
O 0.953 0.953 0.686
O 0.994 0.435 0.886

Properties
E_tot = -5.563 eV/atom
Volume = 13.5 A^3/atom
E above lowest polymorph = 0.112 eV/atom
Density of states at the Fermi level = 3.0 states/eV/f.u.

---

6.
Material: Li2Cd2GaAg5
Method: DFT, PBE
State: relaxed

Cell: 9.763 9.763 3.759 Å, 90.00 90.00 90.00°
Sites, in units of the cell vectors:
Li 0.126 0.374 0.000
Li 0.374 0.874 0.000
Li 0.626 0.126 0.000
Li 0.874 0.626 0.000
Cd 0.165 0.665 0.000
Cd 0.335 0.165 0.000
Cd 0.665 0.835 0.000
Cd 0.835 0.335 0.000
Ga 0.000 0.000 0.000
Ga 0.500 0.500 0.000
Ag 0.000 0.500 0.500
Ag 0.094 0.189 0.500
Ag 0.189 0.906 0.500
Ag 0.311 0.406 0.500
Ag 0.406 0.689 0.500
Ag 0.500 0.000 0.500
Ag 0.594 0.311 0.500
Ag 0.689 0.594 0.500
Ag 0.811 0.094 0.500
Ag 0.906 0.811 0.500

Properties
E_tot = -2.349 eV/atom
Volume = 17.9 A^3/atom
DFT formation energy = -0.0554 eV/atom
Density of states at the Fermi level = 2.3 states/eV/f.u.

---

7.
Material: TbNdLuSn
Method: DFT, PBE
State: relaxed

Cell: 5.443 5.443 5.443 Å, 60.00 60.00 60.00°
Sites, in units of the cell vectors:
Tb 0.000 0.000 0.000
Nd 0.500 0.500 0.500
Lu 0.750 0.750 0.750
Sn 0.250 0.250 0.250

Properties
E_tot = -4.729 eV/atom
Volume = 28.5 A^3/atom
DFT formation energy = -0.2488 eV/atom
Density of states at the Fermi level = 6.5 states/eV/f.u.

---

8.
Material: CrS
Method: DFT, PBE
State: relaxed

Cell: 6.283 6.174 5.381 Å, 65.46 63.37 51.17°
Sites, in units of the cell vectors:
Cr 0.005 0.005 0.745
Cr 0.255 0.255 0.995
Cr 0.745 0.745 0.005
Cr 0.995 0.995 0.255
S 0.109 0.641 0.109
S 0.359 0.891 0.359
S 0.641 0.109 0.641
S 0.891 0.359 0.891

Properties
E_tot = -7.245 eV/atom
Volume = 17.8 A^3/atom
Density of states at the Fermi level = 1.9 states/eV/f.u.

---

9.
Material: Ba2POs
Method: DFT, PBE
State: relaxed

Cell: 5.249 5.249 5.249 Å, 60.00 60.00 60.00°
Sites, in units of the cell vectors:
Ba 0.000 0.000 0.000
Ba 0.250 0.250 0.250
P 0.500 0.500 0.500
Os 0.750 0.750 0.750

Properties
E_tot = -4.460 eV/atom
Volume = 25.6 A^3/atom
DFT formation energy = 0.6615 eV/atom
Density of states at the Fermi level = 6.1 states/eV/f.u.

---

10.
Material: Be2AsW
Method: DFT, PBE
State: relaxed

Cell: 4.716 4.716 4.395 Å, 94.10 94.10 32.73°
Sites, in units of the cell vectors:
Be 0.000 0.000 0.000
Be 0.248 0.248 0.774
As 0.469 0.469 0.482
W 0.725 0.725 0.250

Properties
E_tot = -5.923 eV/atom
Volume = 13.2 A^3/atom
DFT formation energy = 0.3411 eV/atom
Density of states at the Fermi level = 1.3 states/eV/f.u.

---

11.
Material: PaGaTe6
Method: DFT, PBE
State: relaxed

Cell: 5.901 5.901 7.508 Å, 96.22 96.22 98.45°
Sites, in units of the cell vectors:
Pa 0.000 0.000 0.000
Ga 0.500 0.500 0.500
Te 0.157 0.521 0.205
Te 0.188 0.188 0.686
Te 0.479 0.843 0.795
Te 0.521 0.157 0.205
Te 0.812 0.812 0.314
Te 0.843 0.479 0.795

Properties
E_tot = -4.214 eV/atom
Volume = 31.9 A^3/atom
Density of states at the Fermi level = 3.3 states/eV/f.u.

---

12.
Material: Sc2Sb
Method: DFT, PBE
State: relaxed

Cell: 7.207 7.207 7.207 Å, 148.56 131.23 59.18°
Sites, in units of the cell vectors:
Sc 0.182 0.182 0.000
Sc 0.249 0.500 0.749
Sc 0.751 0.500 0.251
Sc 0.818 0.818 0.000
Sb 0.356 0.856 0.500
Sb 0.644 0.144 0.500

Properties
E_tot = -6.229 eV/atom
Volume = 24.3 A^3/atom
Density of states at the Fermi level = 3.2 states/eV/f.u.

---

13.
Material: La4ThSc
Method: DFT, PBE
State: relaxed

Cell: 7.778 7.778 8.020 Å, 110.74 110.74 96.08°
Sites, in units of the cell vectors:
La 0.165 0.701 0.511
La 0.299 0.835 0.989
La 0.321 0.328 0.746
La 0.328 0.321 0.246
La 0.672 0.679 0.754
La 0.679 0.672 0.254
La 0.701 0.165 0.011
La 0.835 0.299 0.489
Th 0.037 0.963 0.250
Th 0.963 0.037 0.750
Sc 0.000 0.500 0.000
Sc 0.500 0.000 0.500

Properties
E_tot = -5.415 eV/atom
Volume = 34.1 A^3/atom
DFT formation energy = 0.1616 eV/atom
Density of states at the Fermi level = 9.6 states/eV/f.u.

---

14.
Material: SbBrCl2
Method: DFT, PBE
State: relaxed

Cell: 5.350 5.350 5.350 Å, 128.80 128.80 75.33°
Sites, in units of the cell vectors:
Sb 0.000 0.000 0.000
Br 0.500 0.500 0.000
Cl 0.250 0.750 0.500
Cl 0.750 0.250 0.500

Properties
E_tot = -2.471 eV/atom
Volume = 22.6 A^3/atom
E above lowest polymorph = 0.674 eV/atom
Density of states at the Fermi level = 0.5 states/eV/f.u.

---

15.
Material: Ca2MgSe
Method: DFT, PBE
State: relaxed

Cell: 3.960 3.960 9.117 Å, 90.00 90.00 90.00°
Sites, in units of the cell vectors:
Ca 0.000 0.000 0.000
Ca 0.500 0.500 0.390
Mg 0.000 0.000 0.612
Se 0.500 0.500 0.074

Properties
E_tot = -2.999 eV/atom
Volume = 35.7 A^3/atom
E above lowest polymorph = 0.158 eV/atom
Density of states at the Fermi level = 2.9 states/eV/f.u.

---

16.
Material: AgHgRhF6
Method: DFT, PBE
State: relaxed

Cell: 5.959 5.959 9.232 Å, 90.00 90.00 120.00°
Sites, in units of the cell vectors:
Ag 0.000 0.000 0.000
Ag 0.000 0.000 0.500
Hg 0.333 0.667 0.250
Hg 0.667 0.333 0.750
Rh 0.333 0.667 0.750
Rh 0.667 0.333 0.250
F 0.046 0.382 0.635
F 0.046 0.664 0.865
F 0.336 0.382 0.865
F 0.336 0.954 0.635
F 0.382 0.046 0.135
F 0.382 0.336 0.365
F 0.618 0.664 0.635
F 0.618 0.954 0.865
F 0.664 0.046 0.365
F 0.664 0.618 0.135
F 0.954 0.336 0.135
F 0.954 0.618 0.365

Properties
E_tot = -3.813 eV/atom
Volume = 15.8 A^3/atom

---

17.
Material: Ti4MnRh
Method: DFT, PBE
State: relaxed

Cell: 6.605 6.605 6.605 Å, 39.37 39.37 39.37°
Sites, in units of the cell vectors:
Ti 0.118 0.118 0.118
Ti 0.369 0.369 0.369
Ti 0.631 0.631 0.631
Ti 0.882 0.882 0.882
Mn 0.000 0.000 0.000
Rh 0.500 0.500 0.500

Properties
E_tot = -8.083 eV/atom
Volume = 17.4 A^3/atom
E above lowest polymorph = 0.302 eV/atom
DFT formation energy = -0.0662 eV/atom
Density of states at the Fermi level = 6.4 states/eV/f.u.

---

18.
Material: Ti5Al2V
Method: DFT, PBE
State: relaxed

Cell: 8.773 8.773 8.773 Å, 153.85 153.85 37.32°
Sites, in units of the cell vectors:
Ti 0.000 0.000 0.000
Ti 0.124 0.624 0.500
Ti 0.376 0.876 0.500
Ti 0.624 0.124 0.500
Ti 0.876 0.376 0.500
Al 0.250 0.250 0.000
Al 0.750 0.750 0.000
V 0.500 0.500 0.000

Properties
E_tot = -7.156 eV/atom
Volume = 16.4 A^3/atom
DFT formation energy = -0.1465 eV/atom
Density of states at the Fermi level = 9.2 states/eV/f.u.

---

19.
Material: Ac6NiHgPt2
Method: DFT, PBE
State: relaxed

Cell: 8.327 8.327 8.327 Å, 55.85 55.85 55.85°
Sites, in units of the cell vectors:
Ac 0.004 0.331 0.665
Ac 0.215 0.849 0.451
Ac 0.331 0.665 0.004
Ac 0.451 0.215 0.849
Ac 0.665 0.004 0.331
Ac 0.849 0.451 0.215
Ni 0.259 0.259 0.259
Hg 0.771 0.771 0.771
Pt 0.078 0.078 0.078
Pt 0.590 0.590 0.590

Properties
E_tot = -4.854 eV/atom
Volume = 36.9 A^3/atom
DFT formation energy = -0.5729 eV/atom
Density of states at the Fermi level = 8.9 states/eV/f.u.

---

20.
Material: As3WC
Method: DFT, PBE
State: relaxed

Cell: 4.866 4.866 4.866 Å, 90.00 90.00 90.00°
Sites, in units of the cell vectors:
As 0.000 0.000 0.500
As 0.000 0.500 0.000
As 0.500 0.000 0.000
W 0.000 0.000 0.000
C 0.500 0.500 0.500

Properties
E_tot = -5.502 eV/atom
Volume = 23.0 A^3/atom
E above lowest polymorph = 0.366 eV/atom
DFT formation energy = 1.7230 eV/atom
Density of states at the Fermi level = 2.7 states/eV/f.u.